1.
Density functional theory data (PBE) for an optimized crystal structure of MnP2PbCl. Values from VASP.

## Properties
ρ ... 6.13 g/cm3
V ... 97.4 Å³/f.u.
E_form (uncorrected) ... 0.247 eV per atom

Geometry as Quantum ESPRESSO input:
```
&SYSTEM
  ibrav = 0, nat = 5, ntyp = 4
/
ATOMIC_SPECIES
Mn 54.94 Mn.upf
P 30.97 P.upf
Cl 35.45 Cl.upf
Pb 207.20 Pb.upf
ATOMIC_POSITIONS angstrom
Mn 0.000 0.000 0.000
P -1.123 0.669 1.733
P 1.722 -0.384 1.264
Cl 0.829 2.416 -0.396
Pb 1.428 2.701 2.602
CELL_PARAMETERS angstrom
-2.246 1.338 3.466
3.445 -0.768 2.529
1.658 4.832 -0.791
```

---

2.
Density functional theory data (PBE) for an optimized crystal structure of NdSmY2As4. Values from VASP.

## Properties
ρ ... 6.19 g/cm3
V ... 207.3 Å³/f.u.
E ... -0.24483 hartree per atom

Geometry as Quantum ESPRESSO input:
```
&SYSTEM
  ibrav = 0, nat = 8, ntyp = 4
/
ATOMIC_SPECIES
Y 88.91 Y.upf
Nd 144.24 Nd.upf
As 74.92 As.upf
Sm 150.36 Sm.upf
ATOMIC_POSITIONS angstrom
Y 0.000 2.550 6.785
Y 2.094 1.275 3.393
Nd 0.000 4.896 3.322
As 4.187 2.404 1.666
As 2.094 6.114 1.562
As 2.094 3.678 5.082
As 0.000 7.388 4.978
Sm 2.094 6.171 6.715
CELL_PARAMETERS angstrom
4.187 0.000 0.000
0.000 7.242 -0.141
0.000 2.550 6.785
```